LiTm2Au: relaxed, PBE.

POSCAR file:
```
LiTm2Au
1.0
-0.154 -3.495 0.959
1.144 -1.329 -4.657
4.839 0.105 1.159
Tm Au Li
2 1 1
Direct
0.000 0.000 0.500
0.000 0.500 0.000
0.500 0.000 0.000
0.500 0.500 0.500
```

Magnetization: 0.00 Bohr magnetons per cell
N(E_F): 3.50 states/eV/cell
Volume: 90 Å³/cell
Uncorrected energy: -0.29168 Ry per atom
Relative energy among the computed polymorphs: 0 meV per atom